Crystalline CoSe2NF at its relaxed geometry, computed with PBE with a Hubbard U.

POSCAR file:
```
CoSe2NF
1.0
4.5647 0.0000 0.0000
0.0000 4.5647 0.0000
0.0000 0.0000 4.0469
Se Co F N
2 1 1 1
Direct
0.5000 0.0000 0.0000
0.0000 0.5000 0.0000
0.5000 0.5000 0.5000
0.0000 0.0000 0.0000
0.0000 0.0000 0.5000
```

Calculated values
- total energy (eV per cell) = -15.3
- theoretical density (g/cm3) = 4.920
- distance to the lowest polymorph of the same formula (meV per atom) = 838
- spin magnetization (μB/atom) = 0.93